An optimized crystal structure of Y2SiAg, computed with GGA-PBE.

Computed properties:
Electronic total energy   -5.748 eV per atom
Volume   22.9 A^3/atom
E_form (uncorrected)   -447 meV/atom

abc: 3.418 3.781 8.046
angles: 61.94 90.00 90.00
Atoms (fractional coordinates):
1 Ag 0.500 0.250 0.250
2 Si 0.500 0.750 0.750
3 Y 0.000 0.015 0.985
4 Y 0.000 0.485 0.515